# GaNiTe

A relaxed GaNiTe crystal (PBE-GGA, OQMD via LeMat-Bulk).

E_tot in eV per atom: -4.133
Magnetic moment in μB per atom: 0.0008

Cell: 4.4314 3.1933 16.7022 Å, 90.00 90.00 90.00°
Fractional coordinates of all 12 atoms:
1 Ni 0.1172 0.7500 0.6996
2 Ga 0.8080 0.7500 0.1913
3 Te 0.2361 0.7500 0.0797
4 Te 0.7639 0.2500 0.9203
5 Ga 0.3080 0.7500 0.3087
6 Ga 0.6920 0.2500 0.6913
7 Ni 0.3828 0.2500 0.1996
8 Ni 0.8828 0.2500 0.3004
9 Te 0.2639 0.2500 0.5797
10 Te 0.7361 0.7500 0.4203
11 Ga 0.1920 0.2500 0.8087
12 Ni 0.6172 0.7500 0.8004

# NaSnIr

A relaxed NaSnIr crystal (PBE-GGA, OQMD via LeMat-Bulk).

E_tot in eV per atom: -4.937
Magnetic moment in μB per atom: 0.0002

Cell: 4.3372 4.3380 7.1965 Å, 90.00 90.06 90.00°
Fractional coordinates of all 6 atoms:
1 Ir 0.7499 0.7500 0.5001
2 Na 0.7494 0.2500 0.1737
3 Ir 0.2501 0.2500 0.4999
4 Sn 0.7504 0.2500 0.7140
5 Sn 0.2496 0.7500 0.2860
6 Na 0.2506 0.7500 0.8263

# BaFeAuSe3

A relaxed BaFeAuSe3 crystal (PBE-GGA, OQMD via LeMat-Bulk).

E_tot in eV per atom: -4.537
Magnetic moment in μB per atom: 0.6265

Cell: 7.7438 7.7438 10.5228 Å, 90.00 90.00 149.57°
Each line ends with the local moment (μB).
Fractional coordinates of all 12 atoms:
1 Se 0.8883 0.1117 0.5188  0.03
2 Ba 0.2180 0.7820 0.7500  0.02
3 Se 0.8883 0.1117 0.9812  0.03
4 Fe 0.5000 0.5000 0.0000  3.23
5 Se 0.1117 0.8883 0.4812  0.03
6 Au 0.8904 0.1096 0.7500  0.02
7 Se 0.4522 0.5478 0.2500  0.13
8 Se 0.5478 0.4522 0.7500  0.13
9 Se 0.1117 0.8883 0.0188  0.03
10 Ba 0.7820 0.2180 0.2500  0.02
11 Fe 0.5000 0.5000 0.5000  3.23
12 Au 0.1096 0.8904 0.2500  0.02

# Nb2ZnOs

A relaxed Nb2ZnOs crystal (PBE-GGA, OQMD via LeMat-Bulk).

Energy of formation in eV per formula unit: 0.295
E_tot in eV per atom: -8.096
Magnetic moment in μB per atom: 0.1090

Cell: 4.4975 4.4975 4.4975 Å, 60.00 60.00 60.00°
Each line ends with the local moment (μB).
Fractional coordinates of all 4 atoms:
1 Nb 0.0000 0.0000 0.0000  0.03
2 Os 0.2500 0.2500 0.2500  0.04
3 Zn 0.5000 0.5000 0.5000  0.01
4 Nb 0.7500 0.7500 0.7500  0.32

# GdGeTeAuS2

A relaxed GdGeTeAuS2 crystal (PBE-GGA, OQMD via LeMat-Bulk).

E_tot in eV per atom: -4.692
Magnetic moment in μB per atom: 0.0011

Cell: 7.0054 7.0054 11.3734 Å, 90.00 90.00 146.61°
Fractional coordinates of all 12 atoms:
1 Au 0.9259 0.0741 0.2500
2 S 0.1327 0.8673 0.5530
3 Gd 0.5000 0.5000 0.5000
4 S 0.8673 0.1327 0.4470
5 Gd 0.5000 0.5000 0.0000
6 Au 0.0741 0.9259 0.7500
7 S 0.8673 0.1327 0.0530
8 Te 0.3876 0.6124 0.7500
9 Te 0.6124 0.3876 0.2500
10 Ge 0.2613 0.7387 0.2500
11 Ge 0.7387 0.2613 0.7500
12 S 0.1327 0.8673 0.9470

# Sn2Os2O5

A relaxed Sn2Os2O5 crystal (PBE-GGA, OQMD via LeMat-Bulk).

E_tot in eV per atom: -6.648
Magnetic moment in μB per atom: 0.0052

Cell: 7.2956 3.9359 3.9359 Å, 90.00 90.00 90.00°
Fractional coordinates of all 9 atoms:
1 Sn 0.0000 0.0000 0.0000
2 O 0.7637 0.5000 0.0000
3 Os 0.2010 0.5000 0.5000
4 Sn 0.5000 0.0000 0.0000
5 O 0.7637 0.0000 0.5000
6 O 0.5000 0.5000 0.5000
7 O 0.2363 0.5000 0.0000
8 Os 0.7990 0.5000 0.5000
9 O 0.2363 0.0000 0.5000

# LaSmSbI2

A relaxed LaSmSbI2 crystal (PBE-GGA, OQMD via LeMat-Bulk).

E_tot in eV per atom: -4.743
Magnetic moment in μB per atom: 0.0016

Cell: 4.4966 4.4966 11.5673 Å, 90.00 90.00 120.00°
Fractional coordinates of all 5 atoms:
1 I 0.0000 0.0000 0.6782
2 Sm 0.6667 0.3333 0.8466
3 La 0.0000 0.0000 0.1522
4 Sb 0.3333 0.6667 0.9935
5 I 0.6667 0.3333 0.3295

# Al2HgTe2S2

A relaxed Al2HgTe2S2 crystal (PBE-GGA, OQMD via LeMat-Bulk).

E_tot in eV per atom: -3.769

Cell: 5.8858 6.0674 6.8315 Å, 113.38 114.36 90.54°
Fractional coordinates of all 7 atoms:
1 Te 0.8835 0.8716 0.2974
2 Al 0.7174 0.2617 0.5003
3 Al 0.5076 0.4764 0.0076
4 Te 0.1386 0.5984 0.7070
5 Hg 0.9906 0.9951 0.9856
6 S 0.4008 0.3770 0.2516
7 S 0.6115 0.1700 0.7504

# Er3TeS2

A relaxed Er3TeS2 crystal (PBE-GGA, OQMD via LeMat-Bulk).

E_tot in eV per atom: -5.873
Magnetic moment in μB per atom: 0.0009

Cell: 4.0032 4.0032 9.9125 Å, 90.00 90.00 120.00°
Fractional coordinates of all 6 atoms:
1 Er 0.3333 0.6667 0.2056
2 S 0.3333 0.6667 0.6524
3 Te 0.0000 0.0000 0.0000
4 S 0.6667 0.3333 0.3476
5 Er 0.6667 0.3333 0.7944
6 Er 0.0000 0.0000 0.5000

# Ta4SiSN2

A relaxed Ta4SiSN2 crystal (PBE-GGA, OQMD via LeMat-Bulk).

E_tot in eV per atom: -9.825
Magnetic moment in μB per atom: 0.0007

Cell: 3.0764 3.0764 12.8878 Å, 90.00 90.00 120.00°
Fractional coordinates of all 8 atoms:
1 Ta 0.0000 0.0000 0.1536
2 Ta 0.3333 0.6667 0.3593
3 S 0.0000 0.0000 0.5000
4 Ta 0.0000 0.0000 0.8464
5 Si 0.3333 0.6667 0.0000
6 N 0.6667 0.3333 0.2540
7 Ta 0.3333 0.6667 0.6407
8 N 0.6667 0.3333 0.7460

# NbMoAs

A relaxed NbMoAs crystal (PBE-GGA, OQMD via LeMat-Bulk).

E_tot in eV per atom: -8.278
Magnetic moment in μB per atom: 0.2574

Cell: 4.2626 4.2626 4.2626 Å, 60.00 60.00 60.00°
Fractional coordinates of all 3 atoms:
1 As 0.0000 0.0000 0.0000
2 Nb 0.7500 0.7500 0.7500
3 Mo 0.2500 0.2500 0.2500

# BaCu2OsSe4

A relaxed BaCu2OsSe4 crystal (PBE-GGA, OQMD via LeMat-Bulk).

E_tot in eV per atom: -4.755
Magnetic moment in μB per atom: 0.0000

Cell: 10.8037 6.6018 6.6018 Å, 119.70 90.00 90.00°
Fractional coordinates of all 16 atoms:
1 Se 0.4159 0.8730 0.3701
2 Ba 0.0000 0.3747 0.3747
3 Se 0.7500 0.9949 0.2371
4 Se 0.5841 0.3701 0.8730
5 Se 0.0841 0.8730 0.3701
6 Cu 0.6212 0.9842 0.5447
7 Ba 0.5000 0.3747 0.3747
8 Cu 0.8788 0.9842 0.5447
9 Cu 0.3788 0.5447 0.9842
10 Se 0.2500 0.2371 0.9949
11 Os 0.7500 0.6192 0.8973
12 Se 0.9159 0.3701 0.8730
13 Os 0.2500 0.8973 0.6192
14 Se 0.2500 0.5902 0.7085
15 Se 0.7500 0.7085 0.5902
16 Cu 0.1212 0.5447 0.9842

# DyEr2Ga4Co

A relaxed DyEr2Ga4Co crystal (PBE-GGA, OQMD via LeMat-Bulk).

E_tot in eV per atom: -4.474
Magnetic moment in μB per atom: 0.0004

Cell: 6.5674 6.0588 6.0588 Å, 42.48 90.00 90.00°
Fractional coordinates of all 8 atoms:
1 Ga 0.8181 0.3820 0.3820
2 Ga 0.7184 0.6150 0.6150
3 Dy 0.5000 0.2139 0.2139
4 Co 0.0000 0.7920 0.7920
5 Ga 0.1819 0.3820 0.3820
6 Ga 0.2816 0.6150 0.6150
7 Er 0.0000 0.0673 0.0673
8 Er 0.5000 0.9328 0.9328

# CdW4N3

A relaxed CdW4N3 crystal (PBE-GGA, OQMD via LeMat-Bulk).

E_tot in eV per atom: -9.525
Magnetic moment in μB per atom: 0.0003

Cell: 2.8285 2.8285 27.8924 Å, 90.00 90.00 120.00°
Fractional coordinates of all 16 atoms:
1 W 0.6667 0.3333 0.5538
2 W 0.3333 0.6667 0.4462
3 W 0.0000 0.0000 0.1599
4 N 0.0000 0.0000 0.5000
5 W 0.0000 0.0000 0.6599
6 W 0.6667 0.3333 0.9462
7 N 0.6667 0.3333 0.1088
8 W 0.0000 0.0000 0.8401
9 W 0.3333 0.6667 0.0538
10 N 0.0000 0.0000 0.0000
11 N 0.6667 0.3333 0.3912
12 Cd 0.3333 0.6667 0.2500
13 N 0.3333 0.6667 0.6088
14 Cd 0.6667 0.3333 0.7500
15 W 0.0000 0.0000 0.3401
16 N 0.3333 0.6667 0.8912

# SrEr2Al7Ag2

A relaxed SrEr2Al7Ag2 crystal (PBE-GGA, OQMD via LeMat-Bulk).

E_tot in eV per atom: -3.974
Magnetic moment in μB per atom: 0.0009

Cell: 9.4038 9.4038 9.4038 Å, 34.64 34.64 34.64°
Fractional coordinates of all 12 atoms:
1 Ag 0.6642 0.6642 0.6642
2 Al 0.0764 0.5896 0.5896
3 Al 0.5896 0.0764 0.5896
4 Er 0.1432 0.1432 0.1432
5 Sr 0.0000 0.0000 0.0000
6 Al 0.4104 0.9236 0.4104
7 Ag 0.3358 0.3358 0.3358
8 Al 0.5896 0.5896 0.0764
9 Al 0.5000 0.5000 0.5000
10 Er 0.8568 0.8568 0.8568
11 Al 0.9236 0.4104 0.4104
12 Al 0.4104 0.4104 0.9236

# SiHgB

A relaxed SiHgB crystal (PBE-GGA, OQMD via LeMat-Bulk).

E_tot in eV per atom: -2.680

Cell: 4.2239 4.2239 4.2239 Å, 60.00 60.00 60.00°
Fractional coordinates of all 3 atoms:
1 Si 0.7500 0.7500 0.7500
2 Hg 0.0000 0.0000 0.0000
3 B 0.2500 0.2500 0.2500

# LuSnNO

A relaxed LuSnNO crystal (PBE-GGA, OQMD via LeMat-Bulk).

E_tot in eV per atom: -6.532
Magnetic moment in μB per atom: 0.0000

Cell: 4.2324 4.2324 8.0196 Å, 90.00 90.00 90.00°
Fractional coordinates of all 8 atoms:
1 Lu 0.0000 0.0000 0.5000
2 N 0.0000 0.5000 0.5852
3 Sn 0.5000 0.0000 0.8780
4 Sn 0.0000 0.5000 0.1220
5 N 0.5000 0.0000 0.4148
6 O 0.5000 0.5000 0.0000
7 Lu 0.5000 0.5000 0.5000
8 O 0.0000 0.0000 0.0000

# ZrBiPO

A relaxed ZrBiPO crystal (PBE-GGA, OQMD via LeMat-Bulk).

E_tot in eV per atom: -6.492
Magnetic moment in μB per atom: 0.0008

Cell: 4.3783 4.3783 8.3261 Å, 90.00 90.00 90.00°
Fractional coordinates of all 8 atoms:
1 O 0.5000 0.5000 0.0000
2 Zr 0.0000 0.0000 0.5000
3 Bi 0.0000 0.5000 0.1197
4 Zr 0.5000 0.5000 0.5000
5 P 0.5000 0.0000 0.3300
6 P 0.0000 0.5000 0.6700
7 O 0.0000 0.0000 0.0000
8 Bi 0.5000 0.0000 0.8803

# Fe3CuTe5

A relaxed Fe3CuTe5 crystal (PBE-GGA, OQMD via LeMat-Bulk).

E_tot in eV per atom: -4.671
Magnetic moment in μB per atom: 0.6811

Cell: 5.5752 5.5752 7.7247 Å, 90.00 90.00 120.00°
Each line ends with the local moment (μB).
Fractional coordinates of all 9 atoms:
1 Fe 0.0000 0.5000 0.5000  1.86
2 Te 0.3333 0.6667 0.2349  -0.04
3 Te 0.6667 0.3333 0.7651  -0.04
4 Cu 0.0000 0.0000 0.0000  -0.01
5 Te 0.6667 0.3333 0.2349  -0.05
6 Fe 0.5000 0.5000 0.5000  2.19
7 Fe 0.5000 0.0000 0.5000  2.06
8 Te 0.3333 0.6667 0.7651  -0.05
9 Te 0.0000 0.0000 0.5000  0.10

# B2Mo2Os

A relaxed B2Mo2Os crystal (PBE-GGA, OQMD via LeMat-Bulk).

E_tot in eV per atom: -9.609
Magnetic moment in μB per atom: 0.0001

Cell: 9.6422 7.5958 3.0772 Å, 90.00 90.00 90.00°
Fractional coordinates of all 20 atoms:
1 Mo 0.3696 0.3053 0.0000
2 Mo 0.8696 0.1947 0.5000
3 Os 0.1068 0.1172 0.0000
4 B 0.4601 0.1131 0.5000
5 B 0.7333 0.8791 0.5000
6 B 0.9601 0.3869 0.0000
7 Mo 0.8608 0.5773 0.5000
8 Os 0.8932 0.8828 0.0000
9 B 0.5399 0.8869 0.5000
10 B 0.2667 0.1209 0.5000
11 Mo 0.6304 0.6947 0.0000
12 Mo 0.1304 0.8053 0.5000
13 Mo 0.1392 0.4227 0.5000
14 B 0.7667 0.3791 0.0000
15 Os 0.6068 0.3828 0.5000
16 B 0.0399 0.6131 0.0000
17 Os 0.3932 0.6172 0.5000
18 B 0.2333 0.6209 0.0000
19 Mo 0.3608 0.9227 0.0000
20 Mo 0.6392 0.0773 0.0000

# TbPrLu

A relaxed TbPrLu crystal (PBE-GGA, OQMD via LeMat-Bulk).

Energy of formation in eV per formula unit: 2.319
E_tot in eV per atom: -3.870
Magnetic moment in μB per atom: 0.0161

Cell: 5.4630 5.4630 5.4630 Å, 60.00 60.00 60.00°
Fractional coordinates of all 3 atoms:
1 Pr 0.0000 0.0000 0.0000
2 Tb 0.7500 0.7500 0.7500
3 Lu 0.2500 0.2500 0.2500

# Ba2DyOsS6

A relaxed Ba2DyOsS6 crystal (PBE-GGA, OQMD via LeMat-Bulk).

E_tot in eV per atom: -5.726
Magnetic moment in μB per atom: 0.2387

Cell: 6.9644 6.9691 7.0288 Å, 61.50 61.01 60.53°
Each line ends with the local moment (μB).
Fractional coordinates of all 10 atoms:
1 S 0.2714 0.1750 0.2952  0.09
2 Ba 0.2498 0.7480 0.7563  0.02
3 S 0.7018 0.2706 0.7906  0.09
4 S 0.2982 0.7294 0.2094  0.09
5 S 0.7791 0.7395 0.1929  0.09
6 S 0.2209 0.2605 0.8071  0.09
7 Os 0.5000 0.0000 0.0000  1.31
8 Ba 0.7502 0.2520 0.2437  0.02
9 S 0.7286 0.8250 0.7048  0.09
10 Dy 0.0000 0.5000 0.5000  -0.01

# DyNbAs

A relaxed DyNbAs crystal (PBE-GGA, OQMD via LeMat-Bulk).

E_tot in eV per atom: -6.763
Magnetic moment in μB per atom: 0.0491

Cell: 4.5661 4.5661 4.5661 Å, 60.00 60.00 60.00°
Fractional coordinates of all 3 atoms:
1 Dy 0.2500 0.2500 0.2500
2 As 0.0000 0.0000 0.0000
3 Nb 0.7500 0.7500 0.7500

# HfAlCd2

A relaxed HfAlCd2 crystal (PBE-GGA, OQMD via LeMat-Bulk).

E_tot in eV per atom: -3.729
Magnetic moment in μB per atom: 0.0014

Cell: 4.8274 4.8274 4.8274 Å, 60.00 60.00 60.00°
Fractional coordinates of all 4 atoms:
1 Cd 0.7500 0.7500 0.7500
2 Cd 0.0000 0.0000 0.0000
3 Hf 0.2500 0.2500 0.2500
4 Al 0.5000 0.5000 0.5000